# 1
# Sm2PuPd3

An optimized crystal structure of Sm2PuPd3 (PBE-GGA, Alexandria).

```
Sm2PuPd3
1.0
-0.791 -0.316 3.422
-3.324 -0.821 -0.844
2.697 -10.557 -0.350
Pd Sm Pu
3 2 1
direct
0.000 0.000 0.671 Pd
0.000 0.000 0.329 Pd
0.000 0.000 0.000 Pd
0.500 0.500 0.831 Sm
0.500 0.500 0.169 Sm
0.500 0.500 0.500 Pu
```

Summary:
Formation energy (eV/atom): -0.657

# 2
# Ca2ErMoN4

An optimized crystal structure of Ca2ErMoN4 (PBE-GGA, Alexandria).

```
Ca2ErMoN4
1.0
3.273 0.000 0.000
0.000 5.718 0.121
0.000 -1.975 5.531
Ca N Er Mo
2 4 1 1
direct
0.500 0.000 0.500 Ca
0.000 0.500 0.500 Ca
0.500 0.225 0.219 N
0.000 0.770 0.213 N
0.000 0.230 0.787 N
0.500 0.775 0.781 N
0.500 0.500 0.000 Er
0.000 0.000 0.000 Mo
```

Summary:
ΔE_f (raw) (eV/atom): -1.025

# 3
# Pr2DyTh3Se6

An optimized crystal structure of Pr2DyTh3Se6 (PBE-GGA, Alexandria).

```
Pr2DyTh3Se6
1.0
-0.748 0.901 -4.018
-0.599 -8.243 -1.737
-8.205 2.184 4.197
Se Dy Th Pr
6 1 3 2
direct
0.667 0.585 0.334 Se
0.333 0.415 0.666 Se
0.998 0.239 0.995 Se
0.338 0.920 0.677 Se
0.002 0.761 0.005 Se
0.662 0.080 0.323 Se
0.500 0.000 0.000 Dy
0.170 0.835 0.340 Th
0.830 0.165 0.660 Th
0.500 0.500 0.000 Th
0.834 0.667 0.668 Pr
0.166 0.333 0.332 Pr
```

Summary:
ΔE_f (raw) (eV/atom): -1.656

# 4
# MoBr

An optimized crystal structure of MoBr (PBE-GGA, Alexandria).

```
MoBr
1.0
-5.432 -2.853 -9.286
0.838 -10.737 2.808
-3.509 0.244 1.978
Br Mo
8 8
direct
0.083 0.757 0.000 Br
0.257 0.417 0.500 Br
0.243 0.083 0.000 Br
0.917 0.243 0.000 Br
0.757 0.917 0.000 Br
0.583 0.257 0.500 Br
0.743 0.583 0.500 Br
0.417 0.743 0.500 Br
0.425 0.079 0.500 Mo
0.925 0.579 0.000 Mo
0.921 0.425 0.500 Mo
0.579 0.075 0.000 Mo
0.421 0.925 0.000 Mo
0.575 0.921 0.500 Mo
0.075 0.421 0.000 Mo
0.079 0.575 0.500 Mo
```

Summary:
E above lowest polymorph (meV/atom): 88.8
ΔE_f (raw) (eV/atom): 0.015

# 5
# YCdRh2

An optimized crystal structure of YCdRh2 (PBE-GGA, Alexandria).

```
YCdRh2
1.0
-2.924 2.961 1.718
-1.219 -3.012 3.116
2.550 1.243 2.199
Rh Cd Y
2 1 1
direct
0.000 0.500 0.000 Rh
0.500 0.000 0.000 Rh
0.000 0.000 0.500 Cd
0.500 0.500 0.500 Y
```

Summary:
Formation energy (eV/atom): -0.577

# 6
# Tb3Dy

An optimized crystal structure of Tb3Dy (PBE-GGA, Alexandria).

```
Tb3Dy
1.0
-1.597 1.202 -2.930
3.184 -2.659 -2.826
-1.260 -7.924 6.037
Tb Dy
3 1
direct
0.000 0.000 0.500 Tb
0.000 0.500 0.250 Tb
0.000 0.500 0.750 Tb
0.000 0.000 0.000 Dy
```

Summary:
Formation energy (eV/atom): 0.014
E above lowest polymorph (meV/atom): 2.1

# 7
# CoTeSe

An optimized crystal structure of CoTeSe (PBE-GGA, Alexandria).

```
CoTeSe
1.0
4.389 0.000 0.000
2.194 3.801 0.000
2.194 1.267 3.584
Co Te Se
1 1 1
direct
0.750 0.750 0.750 Co
0.500 0.500 0.500 Te
0.000 0.000 0.000 Se
```

Summary:
E above lowest polymorph (meV/atom): 294.0
ΔE_f (raw) (eV/atom): 0.063

# 8
# BaRhAu2

An optimized crystal structure of BaRhAu2 (PBE-GGA, Alexandria).

```
BaRhAu2
1.0
-0.938 2.564 -4.371
1.942 -3.924 -2.718
-7.841 -4.498 -3.994
Au Rh Ba
4 2 2
direct
0.373 0.625 0.250 Au
0.377 0.125 0.250 Au
0.375 0.623 0.750 Au
0.875 0.627 0.750 Au
0.250 0.750 0.500 Rh
0.500 0.500 0.000 Rh
0.000 0.000 0.000 Ba
0.750 0.250 0.500 Ba
```

Summary:
Formation energy (eV/atom): -0.135
E above lowest polymorph (meV/atom): 206.6

| no. | Fermi-level density of states (states/eV per cell) |
| --- | --- |
| 1 | 11.90 |
| 2 | 2.35 |
| 3 | 9.12 |
| 4 | 3.81 |
| 5 | 2.73 |
| 6 | 4.83 |
| 7 | 1.90 |
| 8 | 10.76 |